The following is a GGA-PBE calculation of an optimized crystal structure of Cs2YTlCl6, from Alexandria via LeMat-Bulk.

a = 7.947 Å, b = 8.213 Å, c = 11.376 Å
α = 90.00°, β = 89.91°, γ = 90.00°
Sites, in units of the cell vectors:
Cs1 0.485 0.445 0.250
Tl1 0.000 0.500 0.500
Cl1 0.579 0.022 0.274
Cl2 0.230 0.184 0.461
Cl3 0.270 0.684 0.039
Y1 0.500 0.000 0.500
Cl4 0.820 0.767 0.956
Cl5 0.680 0.267 0.544
Cl6 0.180 0.233 0.044
Cl7 0.730 0.316 0.961
Cl8 0.079 0.478 0.774
Cl9 0.921 0.522 0.226
Cs2 0.015 0.945 0.250
Cl10 0.421 0.978 0.726
Cl11 0.770 0.816 0.539
Cs3 0.515 0.555 0.750
Cs4 0.985 0.055 0.750
Tl2 0.500 0.000 0.000
Y2 0.000 0.500 0.000
Cl12 0.320 0.733 0.456

Output
- D(E_F) (states/eV/cell) = 0.00
- symmetry = P2_1/c
- formation energy from raw total energies (meV per atom) = -1976.8
- energy (eV per cell) = -82.77



The following is a GGA-PBE calculation of an optimized crystal structure of NaIn3F, from Alexandria via LeMat-Bulk.

a = 5.684 Å, b = 5.684 Å, c = 5.684 Å
α = 90.00°, β = 90.00°, γ = 90.00°
Sites, in units of the cell vectors:
In1 0.500 0.000 0.000
In2 0.000 0.500 0.000
In3 0.000 0.000 0.500
F1 0.500 0.500 0.500
Na1 0.000 0.000 0.000

Output
- D(E_F) (states/eV/cell) = 3.98
- symmetry = Pm-3m
- formation energy from raw total energies (meV per atom) = 142.0
- energy (eV per cell) = -10.70



The following is a GGA-PBE calculation of an optimized crystal structure of LiCeCu17, from Alexandria via LeMat-Bulk.

a = 6.434 Å, b = 6.434 Å, c = 6.434 Å
α = 82.64°, β = 82.64°, γ = 82.64°
Each line ends with the local moment (μB).
Sites, in units of the cell vectors:
Ce1 0.657 0.657 0.657  0.53
Cu1 0.298 0.699 0.003  0.00
Cu2 0.997 0.500 0.997  0.00
Cu3 0.003 0.699 0.298  0.00
Cu4 0.500 0.997 0.997  0.00
Cu5 0.003 0.298 0.699  0.00
Cu6 0.652 0.652 0.158  0.00
Li1 0.341 0.341 0.341  0.00
Cu7 0.652 0.158 0.652  0.00
Cu8 0.699 0.298 0.003  0.00
Cu9 0.298 0.003 0.699  0.00
Cu10 0.905 0.905 0.905  0.00
Cu11 0.343 0.853 0.343  0.00
Cu12 0.853 0.343 0.343  0.00
Cu13 0.101 0.101 0.101  0.00
Cu14 0.997 0.997 0.500  0.00
Cu15 0.699 0.003 0.298  0.00
Cu16 0.158 0.652 0.652  0.00
Cu17 0.343 0.343 0.853  0.00

Output
- D(E_F) (states/eV/cell) = 10.72
- symmetry = R3m
- energy (eV per cell) = -77.70
- ΔE_f (eV per atom) = -0.01



The following is a GGA-PBE calculation of an optimized crystal structure of Ho5InSb2, from Alexandria via LeMat-Bulk.

a = 5.618 Å, b = 6.367 Å, c = 14.707 Å
α = 90.00°, β = 90.00°, γ = 116.18°
Sites, in units of the cell vectors:
Ho1 0.075 0.150 0.097
Ho2 0.925 0.850 0.903
Sb1 0.795 0.589 0.112
Ho3 0.925 0.850 0.597
Sb2 0.795 0.589 0.388
Ho4 0.622 0.243 0.551
Ho5 0.075 0.150 0.403
In1 0.709 0.419 0.750
Ho6 0.584 0.168 0.250
Ho7 0.416 0.832 0.750
Sb3 0.205 0.411 0.888
Ho8 0.378 0.757 0.051
Ho9 0.378 0.757 0.449
In2 0.291 0.581 0.250
Ho10 0.622 0.243 0.949
Sb4 0.205 0.411 0.612

Output
- D(E_F) (states/eV/cell) = 16.16
- symmetry = Cmcm
- formation energy from raw total energies (meV per atom) = -366.9
- energy (eV per cell) = -73.61



The following is a GGA-PBE calculation of an optimized crystal structure of Pr5Y2Tm12, from Alexandria via LeMat-Bulk.

a = 7.028 Å, b = 9.797 Å, c = 10.363 Å
α = 70.37°, β = 90.00°, γ = 111.02°
Sites, in units of the cell vectors:
Tm1 0.595 0.685 0.868
Tm2 0.416 0.325 0.480
Pr1 0.000 0.000 0.500
Tm3 0.584 0.675 0.520
Tm4 0.405 0.315 0.132
Tm5 0.975 0.950 0.247
Tm6 0.909 0.325 0.480
Pr2 0.683 0.366 0.789
Y1 0.729 0.000 0.000
Tm7 0.911 0.315 0.132
Tm8 0.089 0.685 0.868
Pr3 0.188 0.377 0.818
Pr4 0.812 0.623 0.182
Pr5 0.317 0.634 0.211
Tm9 0.025 0.050 0.753
Tm10 0.503 0.006 0.326
Y2 0.271 0.000 0.000
Tm11 0.091 0.675 0.520
Tm12 0.497 0.994 0.674

Output
- D(E_F) (states/eV/cell) = 25.33
- symmetry = C2/m
- energy (eV per cell) = -87.00
- ΔE_f (eV per atom) = 0.18



The following is a GGA-PBE calculation of an optimized crystal structure of VReIr2, from Alexandria via LeMat-Bulk.

a = 2.730 Å, b = 4.354 Å, c = 10.053 Å
α = 90.00°, β = 97.80°, γ = 90.00°
Sites, in units of the cell vectors:
Re1 0.774 0.750 0.547
V1 0.406 0.750 0.812
Ir1 0.155 0.750 0.311
V2 0.594 0.250 0.188
Ir2 0.030 0.750 0.060
Re2 0.226 0.250 0.453
Ir3 0.970 0.250 0.940
Ir4 0.845 0.250 0.689

Output
- D(E_F) (states/eV/cell) = 10.79
- symmetry = Cmcm
- energy (eV per cell) = -79.49
- ΔE_f (eV per atom) = -0.11



Question: Which value of D(E_F) does entry 2 give?
Answer: 3.98 states/eV/cell